# NbIrNO2

A relaxed NbIrNO2 crystal (PBE, Alexandria).

Structure (CIF):
```
data_NbIrNO2
_symmetry_space_group_name_H-M 'P 4/m m m'
_symmetry_Int_Tables_number 123
_symmetry_space_group_name_Hall '-P 4 2'
_cell_length_a 3.916
_cell_length_b 3.916
_cell_length_c 3.885
_cell_angle_alpha 90.00
_cell_angle_beta 90.00
_cell_angle_gamma 90.00
loop_
_atom_site_label
_atom_site_type_symbol
_atom_site_fract_x
_atom_site_fract_y
_atom_site_fract_z
Nb1 Nb 0.000 0.000 0.000
Ir1 Ir 0.500 0.500 0.500
N1 N 0.500 0.500 0.000
O1 O 0.000 0.500 0.500
```

Values from the calculation:
ΔE_f (raw)	0.270	eV/atom
uncorrected energy	-7.16	eV per atom
size of the total moment	1.41	μB per cell


# PrGa3Pt2

A relaxed PrGa3Pt2 crystal (PBE, Alexandria).

Structure (CIF):
```
data_PrGa3Pt2
_symmetry_space_group_name_H-M 'P 63/m m c'
_symmetry_Int_Tables_number 194
_symmetry_space_group_name_Hall '-P 6c 2c'
_cell_length_a 4.3299
_cell_length_b 4.3299
_cell_length_c 13.9574
_cell_angle_alpha 90.00
_cell_angle_beta 90.00
_cell_angle_gamma 120.00
loop_
_atom_site_label
_atom_site_type_symbol
_atom_site_fract_x
_atom_site_fract_y
_atom_site_fract_z
Pr1 Pr 0.0000 0.0000 0.2500
Ga1 Ga 0.0000 0.0000 0.0000
Ga2 Ga 0.3333 0.6667 0.1212
Pt1 Pt 0.3333 0.6667 0.5780
```

Values from the calculation:
uncorrected energy	-5.13	eV per atom
size of the total moment	0.00	μB per cell
formation energy from the elements	-4.8	eV/f.u.


# Tl17In11Sb

A relaxed Tl17In11Sb crystal (PBE, Alexandria).

Structure (CIF):
```
data_Tl17In11Sb
_symmetry_space_group_name_H-M 'C 1 m 1'
_symmetry_Int_Tables_number 8
_cell_length_a 11.922
_cell_length_b 16.897
_cell_length_c 10.419
_cell_angle_alpha 90.00
_cell_angle_beta 124.26
_cell_angle_gamma 90.00
loop_
_symmetry_equiv_pos_as_xyz
'x,y,z'
'x,-y,z'
'x+1/2,y+1/2,z'
'x+1/2,-y+1/2,z'
loop_
_atom_site_label
_atom_site_type_symbol
_atom_site_fract_x
_atom_site_fract_y
_atom_site_fract_z
Tl1 Tl 0.000 0.000 0.000
Tl2 Tl 0.002 0.000 0.355
Tl3 Tl 0.023 0.301 0.677
Tl4 Tl 0.042 0.357 0.354
Tl5 Tl 0.101 0.500 0.636
Tl6 Tl 0.198 0.197 0.038
Tl7 Tl 0.323 0.000 0.075
Tl8 Tl 0.325 0.320 0.357
Tl9 Tl 0.342 0.341 0.749
Tl10 Tl 0.362 0.000 0.716
Tl11 Tl 0.439 0.161 0.954
In1 In 0.095 0.092 0.723
In2 In 0.185 0.184 0.542
In3 In 0.225 0.406 0.984
In4 In 0.282 0.091 0.359
In5 In 0.312 0.500 0.532
In6 In 0.498 0.317 0.170
Sb1 Sb 0.140 0.500 0.176
```

Values from the calculation:
ΔE_f (raw)	0.007	eV/atom
uncorrected energy	-2.56	eV per atom
size of the total moment	0.00	μB per cell